[1]
Compound: LaFeAs2
Source: Alexandria
Functional: GGA-PBE
Structure: optimized geometry

Computed properties:
- distance to the lowest polymorph of the same formula (meV/atom) = 665
- DOS at the Fermi energy (states/eV per cell) = 22.742
- calculated volume (Å³ per atom) = 20.5
- energy of formation (meV per atom) = -12

Cell: 6.9019 6.9019 6.9019 Å, 90.00 90.00 90.00°
With the nearest neighbours (Å) after each atom.
Space group F-43m (No. 216)
Asymmetric unit:
La 0.0000 0.0000 0.0000 (multiplicity 4)  4 Fe 2.99, 4 As 2.99
Fe 0.2500 0.2500 0.2500 (multiplicity 4)  4 As 2.99, 4 La 2.99
As 0.0000 0.0000 0.5000 (multiplicity 4)  4 As 2.99, 4 Fe 2.99
As 0.2500 0.2500 0.7500 (multiplicity 4)  4 As 2.99, 4 La 2.99

[2]
Compound: Na2Ga3GeAu4
Source: Alexandria
Functional: GGA-PBE
Structure: optimized geometry

Computed properties:
- DOS at the Fermi energy (states/eV per cell) = 5.258
- calculated volume (Å³ per atom) = 21.3
- energy of formation (meV per atom) = -264

Cell: 4.4160 4.4160 10.9111 Å, 90.00 90.00 90.00°
With the nearest neighbours (Å) after each atom.
Space group P-4m2 (No. 115)
Asymmetric unit:
Na 0.0000 0.5000 0.2474 (multiplicity 2)  8 Au 3.37-3.49, 6 Ga 3.37-3.53, 2 Ge 3.53
Ga 0.0000 0.5000 0.8686 (multiplicity 2)  5 Au 2.53-2.63
Ga 0.5000 0.5000 0.5000 (multiplicity 1)  4 Au 2.67
Ge 0.0000 0.0000 0.5000 (multiplicity 1)  4 Au 2.67
Au 0.0000 0.0000 0.0000 (multiplicity 1)  4 Ga 2.63
Au 0.0000 0.5000 0.6369 (multiplicity 2)  3 Ga 2.53-2.67, 2 Ge 2.67
Au 0.5000 0.5000 0.0000 (multiplicity 1)  4 Ga 2.63

[3]
Compound: Mg2Ga2Ag
Source: Alexandria
Functional: GGA-PBE
Structure: optimized geometry

Computed properties:
- distance to the lowest polymorph of the same formula (meV/atom) = 10
- DOS at the Fermi energy (states/eV per cell) = 4.163
- calculated volume (Å³ per atom) = 19.1
- energy of formation (meV per atom) = -126

Cell: 3.1637 4.3621 13.8157 Å, 90.00 90.00 90.00°
With the nearest neighbours (Å) after each atom.
Space group Amm2 (No. 38)
Asymmetric unit:
Mg 0.0000 0.0000 0.0000 (multiplicity 2)  4 Ag 2.94, 6 Ga 3.09-3.11, 3 Mg 3.11-3.16
Mg 0.0000 0.0000 0.2252 (multiplicity 2)  8 Ga 2.93-3.12, 2 Ag 3.07, 3 Mg 3.11-3.16
Ga 0.5000 0.0000 0.6118 (multiplicity 2)  1 Ga 2.71, 1 Ag 2.71
Ga 0.5000 0.0000 0.8079 (multiplicity 2)  2 Ag 2.64, 1 Ga 2.71, 4 Mg 2.93
Ag 0.5000 0.0000 0.4155 (multiplicity 2)  3 Ga 2.64-2.71, 4 Mg 2.94

Number 1: final energy -90.95 eV/cell, calculated density 6.96 g/cm3. Number 2: final energy -32.08 eV/cell, calculated density 8.71 g/cm3. Number 3: final energy -25.45 eV/cell, calculated density 5.15 g/cm3.